Compound: Sr4CaSe5
Source: Alexandria via LeMat-Bulk
Functional: PBE
Structure: optimized geometry

Properties
- SG = I4/mmm (139)
- formation energy from raw total energies (kJ/mol of atoms) = -198.0

Cell: 4.417 4.417 15.895 Å, 97.99 97.99 90.00°
Sites, in units of the cell vectors:
Sr 0.402 0.402 0.803
Se 0.097 0.097 0.194
Se 0.500 0.500 0.000
Se 0.300 0.300 0.601
Ca 0.000 0.000 0.000
Sr 0.598 0.598 0.197
Sr 0.801 0.801 0.602
Se 0.700 0.700 0.399
Se 0.903 0.903 0.806
Sr 0.199 0.199 0.398

Compound: AcNd4Ho
Source: Alexandria via LeMat-Bulk
Functional: PBE
Structure: optimized geometry

Properties
- formation energy (eV per atom) = 0.170
- E above lowest polymorph (eV/f.u.) = 0.00
- SG = C2/c (15)

Cell: 9.402 6.051 10.720 Å, 89.92 104.83 130.31°
Sites, in units of the cell vectors:
Nd 0.965 0.215 0.419
Nd 0.128 0.378 0.772
Ho 0.950 0.700 0.900
Nd 0.035 0.785 0.581
Ac 0.553 0.803 0.106
Ho 0.050 0.300 0.100
Ac 0.447 0.197 0.894
Nd 0.356 0.106 0.228
Nd 0.872 0.622 0.228
Nd 0.644 0.894 0.772
Nd 0.454 0.704 0.419
Nd 0.546 0.296 0.581

| no. | total DFT energy (no corrections) (eV per atom) |
| --- | --- |
| 1 | -4.67 |
| 2 | -4.46 |